Ni3OsO: optimized geometry, PBE+U.

- V (Å³ per cell) = 57.60
- offset from the most stable computed form (meV per atom) = 0
- DOS at the Fermi energy (states/eV per atom) = 0.8032
- ρ (Mg/m³) = 11.02

Unit cell a=3.8619 b=3.8619 c=3.8619 alpha=90.00 beta=90.00 gamma=90.00
Closest atoms and distances in Å follow each position.
Space group Pm-3m (No. 221)
Symmetry-distinct sites (fractional):
1 Ni 0.0000 0.0000 0.5000 (multiplicity 3)  2 O 1.93
2 Os 0.5000 0.5000 0.5000 (multiplicity 1)  12 Ni 2.73
3 O 0.0000 0.0000 0.0000 (multiplicity 1)  6 Ni 1.93